(1)
Density functional theory data (GGA-PBE) for crystalline KNa3Pb3 at its relaxed geometry.

```
14
Lattice="8.527 0.000 0.000 0.000 8.527 0.000 0.000 0.000 8.527" Properties=species:S:1:pos:R:3 pbc="T T T"
K 0.000 0.000 0.000
K 4.263 4.263 4.263
Na 0.000 2.132 4.263
Na 0.000 6.395 4.263
Na 2.132 4.263 0.000
Na 4.263 0.000 2.132
Na 4.263 0.000 6.395
Na 6.395 4.263 0.000
Pb 0.000 4.263 2.132
Pb 0.000 4.263 6.395
Pb 2.132 0.000 4.263
Pb 4.263 2.132 0.000
Pb 4.263 6.395 0.000
Pb 6.395 0.000 4.263
```

Output
DFT formation energy (eV per atom): 0.32
Space-group type: Pm-3n, No. 223

***

(2)
Density functional theory data (GGA-PBE) for crystalline BaW2Cl at its relaxed geometry.

```
4
Lattice="6.423 -1.693 0.000 6.423 1.693 0.000 -1.706 0.000 4.563" Properties=species:S:1:pos:R:3 pbc="T T T"
Ba 0.000 0.000 0.000
W 2.980 0.000 1.652
W 8.159 0.000 2.911
Cl 5.569 0.000 2.282
```

Output
Energy relative to the lowest polymorph listed for this composition (eV per atom): 0.302
Space-group type: C2/m, No. 12
Energy relative to the elements, uncorrected (eV/atom): 0.47

***

(3)
Density functional theory data (GGA-PBE) for crystalline Na2Tl7In at its relaxed geometry.

```
10
Lattice="0.000 5.938 5.938 5.938 0.000 5.938 5.938 5.938 0.000" Properties=species:S:1:pos:R:3 pbc="T T T"
Na 2.969 2.969 2.969
Na 8.907 8.907 8.907
Tl 0.000 0.000 0.000
Tl 5.938 5.938 2.999
Tl 5.938 2.999 5.938
Tl 8.877 5.938 5.938
Tl 2.999 5.938 5.938
Tl 5.938 8.877 5.938
Tl 5.938 5.938 8.877
In 5.938 5.938 5.938
```

Output
DFT formation energy (eV per atom): 0.24
Energy relative to the lowest polymorph listed for this composition (eV per atom): 0.233
Space-group type: Fm-3m, No. 225

***

(4)
Density functional theory data (GGA-PBE) for crystalline PaCuSb2O8 at its relaxed geometry.

```
12
Lattice="3.507 -3.668 0.000 3.507 3.668 0.000 -0.012 0.000 6.244" Properties=species:S:1:pos:R:3 pbc="T T T"
Pa 0.000 0.000 0.000
Cu -0.006 0.000 3.122
Sb 3.507 0.000 1.614
Sb 3.496 0.000 4.631
O 1.480 0.000 4.721
O 1.491 0.000 1.517
O 3.501 1.350 3.122
O 3.507 1.322 0.000
O 3.507 -1.322 0.000
O 3.501 -1.350 3.122
O 5.511 0.000 4.727
O 5.523 0.000 1.523
```

Output
Space-group type: C2/m, No. 12
Energy relative to the elements, uncorrected (eV/atom): -1.83

***

(5)
Density functional theory data (GGA-PBE) for crystalline Ac8Ag3Pt4 at its relaxed geometry.

```
15
Lattice="6.331 -6.356 0.000 6.331 6.356 0.000 -6.271 0.000 6.367" Properties=species:S:1:pos:R:3 pbc="T T T"
Ac -0.086 0.000 3.028
Ac -3.196 0.000 6.276
Ac 6.331 3.298 0.000
Ac 3.196 3.283 3.183
Ac 3.196 -3.283 3.183
Ac 6.331 -3.298 0.000
Ac 9.588 0.000 0.090
Ac 6.478 0.000 3.338
Ag 0.030 3.178 3.183
Ag 0.030 -3.178 3.183
Ag 3.196 0.000 3.183
Pt 0.000 0.000 0.000
Pt -3.135 0.000 3.183
Pt 3.166 3.178 0.000
Pt 3.166 -3.178 0.000
```

Output
DFT formation energy (eV per atom): -0.69
Space-group type: C2/m, No. 12

***

(6)
Density functional theory data (GGA-PBE) for crystalline SrYZnIr at its relaxed geometry.

```
4
Lattice="0.000 3.587 3.587 3.587 0.000 3.587 3.587 3.587 0.000" Properties=species:S:1:pos:R:3 pbc="T T T"
Sr 0.000 0.000 0.000
Y 3.587 3.587 3.587
Zn 5.381 5.381 5.381
Ir 1.794 1.794 1.794
```

Output
DFT formation energy (eV per atom): -0.27
Space-group type: F-43m, No. 216

***

(7)
Density functional theory data (GGA-PBE) for crystalline Tb2NdEr4Tl at its relaxed geometry.

```
16
Lattice="1.785 -8.449 0.000 1.785 8.449 0.000 0.000 0.000 17.222" Properties=species:S:1:pos:R:3 pbc="T T T"
Tb 1.785 5.884 10.351
Tb 1.785 5.884 15.482
Tb 1.785 -5.884 1.740
Tb 1.785 -5.884 6.871
Nd 1.785 3.553 12.917
Nd 1.785 -3.553 4.306
Er 1.785 7.897 4.306
Er 1.785 5.704 1.496
Er 1.785 5.704 7.115
Er 1.785 0.000 0.000
Er 1.785 0.000 8.611
Er 1.785 -5.704 10.107
Er 1.785 -5.704 15.726
Er 1.785 -7.897 12.917
Tl 1.785 1.982 4.306
Tl 1.785 -1.982 12.917
```

Output
DFT formation energy (eV per atom): 0.11
Space-group type: Cmcm, No. 63

***

(8)
Density functional theory data (GGA-PBE) for crystalline PrNd12Y6 at its relaxed geometry.

```
19
Lattice="6.789 3.919 4.248 -6.789 3.919 4.248 0.000 -7.839 4.248" Properties=species:S:1:pos:R:3 pbc="T T T"
Pr 0.000 0.000 0.000
Nd -1.856 -1.072 3.338
Nd -1.742 -3.018 6.371
Nd -3.485 0.000 6.371
Nd 1.856 -1.072 3.338
Nd 0.000 2.144 3.338
Nd 1.742 -3.018 6.371
Nd -1.742 3.018 6.371
Nd 0.000 -2.144 9.405
Nd -1.856 1.072 9.405
Nd 3.485 0.000 6.371
Nd 1.742 3.018 6.371
Nd 1.856 1.072 9.405
Y 0.000 -4.410 3.668
Y -3.819 2.205 3.668
Y -3.819 -2.205 9.075
Y 3.819 2.205 3.668
Y 3.819 -2.205 9.075
Y 0.000 4.410 9.075
```

Output
DFT formation energy (eV per atom): 0.19
Energy relative to the lowest polymorph listed for this composition (eV per atom): 0.057
Space-group type: R-3m, No. 166

***

(9)
Density functional theory data (GGA-PBE) for crystalline LaScCd at its relaxed geometry.

```
12
Lattice="6.671 0.000 0.000 0.000 4.782 0.000 0.000 0.000 9.949" Properties=species:S:1:pos:R:3 pbc="T T T"
La 0.929 1.196 0.624
La 2.407 3.587 5.599
La 4.264 1.196 4.350
La 5.743 3.587 9.325
Sc 0.830 1.196 3.896
Sc 2.506 3.587 8.870
Sc 4.165 1.196 1.079
Sc 5.842 3.587 6.053
Cd 0.714 1.196 7.210
Cd 2.622 3.587 2.235
Cd 4.050 1.196 7.714
Cd 5.957 3.587 2.739
```

Output
DFT formation energy (eV per atom): -0.10
Energy relative to the lowest polymorph listed for this composition (eV per atom): 0.074
Space-group type: Pnma, No. 62

***

(10)
Density functional theory data (GGA-PBE) for crystalline SrSbCl2 at its relaxed geometry.

```
4
Lattice="0.000 3.907 3.907 3.907 0.000 3.907 3.907 3.907 0.000" Properties=species:S:1:pos:R:3 pbc="T T T"
Sr 0.000 0.000 0.000
Sb 1.953 1.953 1.953
Cl 3.907 3.907 3.907
Cl 5.860 5.860 5.860
```

Output
Energy relative to the lowest polymorph listed for this composition (eV per atom): 0.591
Space-group type: F-43m, No. 216
Energy relative to the elements, uncorrected (eV/atom): -0.74

***

(11)
Density functional theory data (GGA-PBE) for crystalline ZrTaSe4 at its relaxed geometry.

```
12
Lattice="3.669 -8.082 0.000 3.669 8.082 0.000 -3.658 0.000 5.344" Properties=species:S:1:pos:R:3 pbc="T T T"
Zr 0.925 5.008 4.008
Zr 2.754 -5.008 1.336
Ta 2.754 2.958 1.336
Ta 0.925 -2.958 4.008
Se -0.991 3.005 4.049
Se 0.971 1.244 1.372
Se -0.858 -1.244 4.044
Se 0.838 -3.005 1.377
Se 2.842 3.005 3.967
Se 4.538 1.244 1.300
Se 2.709 -1.244 3.972
Se 4.671 -3.005 1.295
```

Output
Energy relative to the lowest polymorph listed for this composition (eV per atom): 0.161
Space-group type: C2/c, No. 15
Energy relative to the elements, uncorrected (eV/atom): -0.88

***

(12)
Density functional theory data (GGA-PBE) for crystalline HoCoPt2 at its relaxed geometry.

```
4
Lattice="4.052 0.000 0.000 0.000 4.052 0.000 0.000 0.000 4.020" Properties=species:S:1:pos:R:3 pbc="T T T"
Ho 0.000 0.000 0.000
Co 2.026 2.026 0.000
Pt 0.000 2.026 2.010
Pt 2.026 0.000 2.010
```

Output
DFT formation energy (eV per atom): -0.70
Space-group type: P4/mmm, No. 123

***

Number 1: size of the total moment 0.00 μB per formula unit. Number 2: size of the total moment 0.00 μB per formula unit. Number 3: size of the total moment 0.00 μB per formula unit. Number 4: size of the total moment 0.10 μB per formula unit. Number 5: size of the total moment 0.00 μB per formula unit. Number 6: size of the total moment 0.00 μB per formula unit. Number 7: size of the total moment 0.00 μB per formula unit. Number 8: size of the total moment 0.00 μB per formula unit. Number 9: size of the total moment 0.00 μB per formula unit. Number 10: size of the total moment 3.00 μB per formula unit. Number 11: size of the total moment 0.00 μB per formula unit. Number 12: size of the total moment 1.58 μB per formula unit.